Computed, not measured: YMoPb after structural relaxation at the PBE-GGA level of DFT.

Unit cell a=5.048 b=5.048 c=3.158 alpha=90.00 beta=90.00 gamma=120.00
Atoms (fractional coordinates):
Y: 0.000 0.000 0.000
Mo: 0.667 0.333 0.500
Pb: 0.333 0.667 0.500

Values from the calculation:
total magnetization	0.00	μB per cell
energy relative to the elements	0.355	eV per atom
E	-6.646	eV/atom
excess energy over the best structure of this formula in the dataset	0.444	eV per formula unit
space group	P-6m2, No. 187